Model A:
A plane-wave DFT calculation with PBE was carried out for crystalline TiSb2TeOs at its relaxed geometry.

Results
* crystal system: tetragonal
* spin magnetization: 2.3 μB/cell
* calculated density: 7.06 Mg/m³
* Fermi-level density of states: 6.3 states/eV/cell

Cell lengths 4.988, 4.988, 5.755 Å; angles 90.00, 90.00, 90.00 degrees
Site moments in Bohr magnetons follow the coordinates.
Positions (direct):
1 Ti 0.500 0.500 0.500  1.77
2 Sb 0.500 0.000 0.000  -0.01
3 Sb 0.000 0.500 0.000  -0.01
4 Os 0.000 0.000 0.000  0.10
5 Te 0.000 0.000 0.500  -0.06

Model B:
A plane-wave DFT calculation with PBE was carried out for crystalline TiSb2TeOs at its relaxed geometry.

Results
* crystal system: tetragonal
* spin magnetization: 2.6 μB/cell
* calculated density: 7.35 Mg/m³
* Fermi-level density of states: 5.4 states/eV/cell

Cell lengths 5.184, 5.184, 5.121 Å; angles 90.00, 90.00, 90.00 degrees
Site moments in Bohr magnetons follow the coordinates.
Positions (direct):
1 Os 0.500 0.500 0.500  2.34
2 Sb 0.500 0.000 0.000  -0.08
3 Sb 0.000 0.500 0.000  -0.08
4 Ti 0.000 0.000 0.000  0.31
5 Te 0.000 0.000 0.500  -0.08

Which structure wins on stability? model A wins.

Model A:
A plane-wave DFT calculation with PBE was carried out for crystalline TlSb2TeOs at its relaxed geometry.

Results
* crystal system: tetragonal
* spin magnetization: 3.0 μB/cell
* calculated density: 7.18 Mg/m³
* Fermi-level density of states: 7.4 states/eV/cell

Cell lengths 5.604, 5.604, 5.635 Å; angles 90.00, 90.00, 90.00 degrees
Site moments in Bohr magnetons follow the coordinates.
Positions (direct):
1 Tl 0.000 0.000 0.000  0.00
2 Sb 0.000 0.500 0.000  -0.12
3 Sb 0.500 0.000 0.000  -0.12
4 Os 0.500 0.500 0.500  3.00
5 Te 0.000 0.000 0.500  0.04

Model B:
A plane-wave DFT calculation with PBE was carried out for crystalline TlSb2TeOs at its relaxed geometry.

Results
* crystal system: tetragonal
* spin magnetization: 0.0 μB/cell
* calculated density: 8.29 Mg/m³
* Fermi-level density of states: 4.3 states/eV/cell

Cell lengths 5.053, 5.053, 6.006 Å; angles 90.00, 90.00, 90.00 degrees
Positions (direct):
1 Os 0.000 0.000 0.000
2 Te 0.000 0.000 0.500
3 Sb 0.500 0.000 0.000
4 Sb 0.000 0.500 0.000
5 Tl 0.500 0.500 0.500

Which structure wins on stability? model B wins.

Model A:
A plane-wave DFT calculation with PBE was carried out for crystalline VSb2TeOs at its relaxed geometry.

Results
* crystal system: tetragonal
* spin magnetization: 0.4 μB/cell
* calculated density: 7.19 Mg/m³
* Fermi-level density of states: 8.8 states/eV/cell

Cell lengths 5.000, 5.000, 5.655 Å; angles 90.00, 90.00, 90.00 degrees
Site moments in Bohr magnetons follow the coordinates.
Positions (direct):
1 Sb 0.000 0.500 0.000  0.04
2 Sb 0.500 0.000 0.000  0.04
3 V 0.500 0.500 0.500  -0.83
4 Te 0.000 0.000 0.500  0.10
5 Os 0.000 0.000 0.000  0.19

Model B:
A plane-wave DFT calculation with PBE was carried out for crystalline VSb2TeOs at its relaxed geometry.

Results
* crystal system: tetragonal
* spin magnetization: 2.3 μB/cell
* calculated density: 8.04 Mg/m³
* Fermi-level density of states: 5.6 states/eV/cell

Cell lengths 5.033, 5.033, 4.994 Å; angles 90.00, 90.00, 90.00 degrees
Site moments in Bohr magnetons follow the coordinates.
Positions (direct):
1 Sb 0.500 0.000 0.000  -0.09
2 Sb 0.000 0.500 0.000  -0.09
3 Te 0.000 0.000 0.500  -0.09
4 Os 0.500 0.500 0.500  1.75
5 V 0.000 0.000 0.000  0.73

Which structure wins on stability? model A wins.

Model A:
A plane-wave DFT calculation with PBE was carried out for crystalline Sb2TeOsW at its relaxed geometry.

Results
* crystal system: tetragonal
* spin magnetization: 3.6 μB/cell
* calculated density: 8.96 Mg/m³
* Fermi-level density of states: 3.2 states/eV/cell

Cell lengths 4.984, 4.984, 5.559 Å; angles 90.00, 90.00, 90.00 degrees
Site moments in Bohr magnetons follow the coordinates.
Positions (direct):
1 W 0.500 0.500 0.500  2.90
2 Os 0.000 0.000 0.000  0.05
3 Sb 0.000 0.500 0.000  -0.06
4 Sb 0.500 0.000 0.000  -0.06
5 Te 0.000 0.000 0.500  -0.12

Model B:
A plane-wave DFT calculation with PBE was carried out for crystalline Sb2TeOsW at its relaxed geometry.

Results
* crystal system: tetragonal
* spin magnetization: 2.3 μB/cell
* calculated density: 8.85 Mg/m³
* Fermi-level density of states: 6.6 states/eV/cell

Cell lengths 5.216, 5.216, 5.141 Å; angles 90.00, 90.00, 90.00 degrees
Site moments in Bohr magnetons follow the coordinates.
Positions (direct):
1 Sb 0.000 0.500 0.000  -0.07
2 Sb 0.500 0.000 0.000  -0.07
3 Te 0.000 0.000 0.500  -0.03
4 W 0.000 0.000 0.000  0.08
5 Os 0.500 0.500 0.500  2.21

Which structure wins on stability? model A wins.